Entry 1:
A geometry-optimized YV2ZnSb structure. Source: Alexandria via LeMat-Bulk, functional GGA-PBE.

- symmetry = P4/mmm (123)
- offset from the most stable computed form (meV per atom) = 814

```
YV2ZnSb
1.0
5.003 0.000 0.000
0.000 5.003 0.000
0.000 0.000 5.581
Y V Zn Sb
1 2 1 1
Direct
0.000 0.000 0.000 Y
0.000 0.500 0.000 V
0.500 0.000 0.000 V
0.500 0.500 0.500 Zn
0.000 0.000 0.500 Sb
```

***

Entry 2:
A geometry-optimized YV2ZnSb structure. Source: Alexandria via LeMat-Bulk, functional GGA-PBE.

- symmetry = P4/mmm (123)
- offset from the most stable computed form (meV per atom) = 0

```
YV2ZnSb
1.0
5.037 0.000 0.000
0.000 5.037 0.000
0.000 0.000 5.023
Y V Zn Sb
1 2 1 1
Direct
0.000 0.000 0.000 Y
0.000 0.500 0.500 V
0.500 0.000 0.500 V
0.500 0.500 0.000 Zn
0.500 0.500 0.500 Sb
```